A geometry-optimized Ba2Ga5Sn3 structure. Source: the Alexandria database, functional PBE-GGA.

Summary:
Energy of formation (eV/atom): -0.397
Symmetry: C2/c, No. 15
Raw total energy (Ry/atom): -0.25692
Calculated density (Mg/m³): 6.03
E above lowest polymorph (meV per atom): 0.0

Structure (POSCAR):
```
Ba2Ga5Sn3
1.0
7.799 -5.351 0.000
7.799 5.351 0.000
-2.969 0.000 6.467
Ba Ga Sn
4 10 6
direct
0.116 0.630 0.874
0.370 0.884 0.626
0.630 0.116 0.374
0.884 0.370 0.126
0.005 0.995 0.750
0.247 0.484 0.364
0.253 0.262 0.005
0.262 0.253 0.505
0.484 0.247 0.864
0.516 0.753 0.136
0.738 0.747 0.495
0.747 0.738 0.995
0.753 0.516 0.636
0.995 0.005 0.250
0.004 0.250 0.627
0.250 0.004 0.127
0.496 0.504 0.750
0.504 0.496 0.250
0.750 0.996 0.873
0.996 0.750 0.373
```